Record 1
DFT (PBE-GGA) results for a geometry-optimized HgOsRu2 structure.

Results
crystal system	trigonal
calculated formation energy	0.364	eV per atom

The structure in CIF format:
```
data_HgOsRu2
_symmetry_space_group_name_H-M 'R -3 m'
_symmetry_Int_Tables_number 166
_symmetry_space_group_name_Hall '-R 3 2"'
_cell_length_a 2.8001
_cell_length_b 2.8001
_cell_length_c 27.6669
_cell_angle_alpha 90.00
_cell_angle_beta 90.00
_cell_angle_gamma 120.00
loop_
_atom_site_label
_atom_site_type_symbol
_atom_site_fract_x
_atom_site_fract_y
_atom_site_fract_z
Hg1 Hg 0.0000 0.0000 0.0000
Os1 Os 0.0000 0.0000 0.5000
Ru1 Ru 0.0000 0.0000 0.2428
```

=====

Record 2
DFT (PBE-GGA) results for a geometry-optimized HgOsRu2 structure.

Results
crystal system	tetragonal
calculated formation energy	0.674	eV per atom

The structure in CIF format:
```
data_HgOsRu2
_symmetry_space_group_name_H-M 'I -4 m 2'
_symmetry_Int_Tables_number 119
_symmetry_space_group_name_Hall 'I -4 -2'
_cell_length_a 3.880
_cell_length_b 3.880
_cell_length_c 8.225
_cell_angle_alpha 90.00
_cell_angle_beta 90.00
_cell_angle_gamma 90.00
loop_
_atom_site_label
_atom_site_type_symbol
_atom_site_fract_x
_atom_site_fract_y
_atom_site_fract_z
Hg1 Hg 0.000 0.000 0.000
Os1 Os 0.000 0.500 0.750
Ru1 Ru 0.000 0.000 0.500
Ru2 Ru 0.000 0.500 0.250
```

=====

Record 3
DFT (PBE-GGA) results for a geometry-optimized Hg2OsRu structure.

Results
ΔE to the lowest computed polymorph	630	meV per atom
crystal system	cubic
calculated formation energy	0.993	eV per atom

The structure in CIF format:
```
data_Hg2OsRu
_symmetry_space_group_name_H-M 'F m -3 m'
_symmetry_Int_Tables_number 225
_symmetry_space_group_name_Hall '-F 4 2 3'
_cell_length_a 6.527
_cell_length_b 6.527
_cell_length_c 6.527
_cell_angle_alpha 90.00
_cell_angle_beta 90.00
_cell_angle_gamma 90.00
loop_
_atom_site_label
_atom_site_type_symbol
_atom_site_fract_x
_atom_site_fract_y
_atom_site_fract_z
Hg1 Hg 0.250 0.250 0.250
Os1 Os 0.000 0.000 0.000
Ru1 Ru 0.000 0.000 0.500
```

=====

Record 4
DFT (PBE-GGA) results for a geometry-optimized HgOsRu2 structure.

Results
crystal system	monoclinic
calculated formation energy	0.733	eV per atom

The structure in CIF format:
```
data_HgOsRu2
_symmetry_space_group_name_H-M 'P 1 2/m 1'
_symmetry_Int_Tables_number 10
_cell_length_a 4.871
_cell_length_b 2.794
_cell_length_c 4.921
_cell_angle_alpha 90.00
_cell_angle_beta 111.68
_cell_angle_gamma 90.00
loop_
_symmetry_equiv_pos_as_xyz
'x,y,z'
'-x,-y,-z'
'-x,y,-z'
'x,-y,z'
loop_
_atom_site_label
_atom_site_type_symbol
_atom_site_fract_x
_atom_site_fract_y
_atom_site_fract_z
Hg1 Hg 0.000 0.000 0.000
Os1 Os 0.000 0.500 0.500
Ru1 Ru 0.500 0.000 0.500
Ru2 Ru 0.500 0.500 0.000
```